DFT (PBE with a Hubbard U) results for crystalline Tl2FeCoF6 at its relaxed geometry.

Output
Size of the total moment   7.00 μB per formula unit
Calculated total energy   -46.9 eV/cell

Unit cell a=6.0514 b=6.0514 c=4.0964 alpha=90.00 beta=90.00 gamma=90.00
Fractional positions:
Tl (0.0000, 0.5000, 0.0000)
Tl (0.5000, 0.0000, 0.0000)
Fe (0.0000, 0.0000, 0.5000)
Co (0.5000, 0.5000, 0.5000)
F (0.0000, 0.0000, 0.0000)
F (0.2531, 0.2531, 0.5000)
F (0.2531, 0.7469, 0.5000)
F (0.5000, 0.5000, 0.0000)
F (0.7469, 0.2531, 0.5000)
F (0.7469, 0.7469, 0.5000)